1.
The following is a DFT calculation (PBE) of a geometry-optimized YPuCoNi structure.

```
YPuCoNi
1.0
0.000 3.355 3.355
3.355 0.000 3.355
3.355 3.355 0.000
Y Pu Co Ni
1 1 1 1
direct
0.000 0.000 0.000
0.500 0.500 0.500
0.750 0.750 0.750
0.250 0.250 0.250
```

Output
E_form: -26 kJ/mol of formula units
total energy: -8.4871 eV per atom
SG: F-43m (216)



2.
The following is a DFT calculation (PBE) of a geometry-optimized LaPrDy5 structure.

```
LaPrDy5
1.0
-2.892 4.348 5.927
2.892 -4.348 5.927
2.892 4.348 -5.927
La Pr Dy
1 1 5
direct
0.000 0.000 0.000
0.500 0.500 0.000
0.179 0.500 0.679
0.252 0.252 0.000
0.500 0.000 0.500
0.748 0.748 0.000
0.821 0.500 0.321
```

Output
E_form: 728 kJ/mol of formula units
energy above the most stable polymorph in this dataset: 6.20 eV per formula unit
total energy: -3.5961 eV per atom
SG: Immm (71)



3.
The following is a DFT calculation (PBE) of a geometry-optimized NdYAlIn structure.

```
NdYAlIn
1.0
3.725 0.000 0.000
0.000 3.725 0.000
0.000 0.000 7.581
Nd Y Al In
1 1 1 1
direct
0.000 0.000 0.000
0.000 0.000 0.480
0.500 0.500 0.252
0.500 0.500 0.727
```

Output
E_form: -169 kJ/mol of formula units
energy above the most stable polymorph in this dataset: 0.00 eV per formula unit
total energy: -4.8666 eV per atom
SG: P4mm (99)



4.
The following is a DFT calculation (PBE) of a geometry-optimized CaTlCl2 structure.

```
CaTlCl2
1.0
5.226 0.000 0.000
0.000 2.191 6.527
0.000 -2.191 6.527
Ca Tl Cl
1 1 2
direct
0.000 0.000 0.000
0.500 0.299 0.299
0.000 0.616 0.616
0.500 0.966 0.966
```

Output
formation energy from raw total energies: -132 kJ per mole of atoms
energy above the most stable polymorph in this dataset: 1.00 eV per formula unit
total energy: -3.3818 eV per atom
SG: Amm2 (38)



5.
The following is a DFT calculation (PBE) of a geometry-optimized Dy2Er2Sc structure.

```
Dy2Er2Sc
1.0
5.482 -2.461 0.000
5.482 2.461 0.000
0.000 0.000 10.967
Dy Er Sc
4 4 2
direct
0.050 0.050 0.151
0.152 0.152 0.451
0.848 0.848 0.549
0.950 0.950 0.849
0.349 0.349 0.050
0.451 0.451 0.348
0.549 0.549 0.652
0.651 0.651 0.950
0.249 0.249 0.750
0.751 0.751 0.250
```

Output
E_form: 19 kJ/mol of formula units
energy above the most stable polymorph in this dataset: 0.00 eV per formula unit
total energy: -4.8938 eV per atom
SG: C2/m (12)



6.
The following is a DFT calculation (PBE) of a geometry-optimized Al2Ni8H structure.

```
Al2Ni8H
1.0
-2.478 6.046 1.925
2.478 -6.046 1.925
2.478 6.046 -1.925
Al Ni H
2 8 1
direct
0.196 0.000 0.196
0.804 0.000 0.804
0.000 0.000 0.000
0.000 0.500 0.500
0.197 0.500 0.697
0.394 0.253 0.647
0.394 0.747 0.141
0.606 0.253 0.859
0.606 0.747 0.353
0.803 0.500 0.303
0.503 0.003 0.500
```

Output
total energy: -5.4417 eV per atom
SG: Imm2 (44)



Q: What is the total energy in the fourth record?
A: -3.3818 eV per atom



Q: The lowest total energy belongs to which entry?
A: YPuCoNi



Q: Which of these has the highest total energy?
A: CaTlCl2